A.
! Nb2CoO6 (PBE with a Hubbard U, relaxed); values from VASP
&SYSTEM
  ibrav = 0, nat = 18, ntyp = 3
/
ATOMIC_SPECIES
Co 58.93 Co.upf
O 16.00 O.upf
Nb 92.91 Nb.upf
CELL_PARAMETERS angstrom
-0.796 -2.487 -4.061
4.674 -1.197 -0.183
-1.740 -7.556 4.967
ATOMIC_POSITIONS angstrom
Co 1.939 -1.842 -2.122
Co -0.870 -3.778 2.484
O 2.523 -5.389 -1.765
O 0.028 -5.865 -0.376
O 0.738 -0.701 -0.808
O 2.110 -5.374 1.100
O 3.140 -2.982 -3.436
O 1.914 -8.033 -0.027
O 0.224 -3.206 0.750
O -0.385 -5.850 2.488
O -0.610 -8.338 1.187
O 1.617 -7.813 2.766
O 2.748 -2.901 -0.463
O 0.521 -3.426 -2.043
Nb -0.295 -1.280 0.841
Nb 0.774 -6.899 1.203
Nb -1.445 -6.276 4.126
Nb 1.364 -4.340 -0.480
! N(E_F) = 0.0 states/eV/cell

***

B.
Computed, not measured: Nb2CoO6 after structural relaxation at the PBE with a Hubbard U level of DFT. Values from VASP.

Cell and atoms, written as Quantum ESPRESSO input:
```
&SYSTEM
  ibrav = 0, nat = 18, ntyp = 3
/
ATOMIC_SPECIES
Nb 92.91 Nb.upf
Co 58.93 Co.upf
O 16.00 O.upf
CELL_PARAMETERS angstrom
-4.242 -3.728 0.901
1.064 -4.507 -3.355
2.634 -5.486 4.289
ATOMIC_POSITIONS angstrom
Nb -1.287 -7.197 -0.287
Nb 0.744 -6.524 2.122
Nb 0.000 0.000 0.000
Nb 1.317 -2.743 2.144
Co 0.068 -10.043 1.924
Co -0.612 -3.678 -0.089
O 0.897 -8.307 2.640
O 1.009 -3.864 -1.440
O -1.441 -5.413 -0.805
O -1.099 -9.267 0.326
O -1.552 -9.857 3.275
O -2.272 -3.382 1.192
O 1.729 -10.339 0.643
O -0.803 -11.835 1.166
O 0.760 -7.012 0.091
O 0.556 -4.453 1.509
O -1.303 -6.709 1.745
O 0.260 -1.885 0.670
```

***

C.
! Nb2CoO6 (PBE with a Hubbard U, relaxed); values from VASP
&SYSTEM
  ibrav = 0, nat = 9, ntyp = 3
/
ATOMIC_SPECIES
Co 58.93 Co.upf
Nb 92.91 Nb.upf
O 16.00 O.upf
CELL_PARAMETERS angstrom
0.012 -3.712 -0.755
4.095 -1.276 -3.162
5.326 -2.592 3.332
ATOMIC_POSITIONS angstrom
Co 4.711 -1.934 0.085
Nb 1.698 -3.696 -0.805
Nb 7.735 -3.884 0.221
O 4.508 -5.250 -2.623
O 1.671 -1.717 -1.032
O 4.926 -2.331 2.038
O 7.763 -5.863 0.447
O 3.358 -3.843 -0.055
O 6.076 -3.737 -0.530
! N(E_F) = 0.0 states/eV/cell

***

D.
! Nb2CoO6 (PBE with a Hubbard U, relaxed); values from VASP
&SYSTEM
  ibrav = 0, nat = 36, ntyp = 3
/
ATOMIC_SPECIES
O 16.00 O.upf
Nb 92.91 Nb.upf
Co 58.93 Co.upf
CELL_PARAMETERS angstrom
-3.410 2.164 -3.113
-0.288 -4.925 -3.108
-10.631 -4.675 8.393
ATOMIC_POSITIONS angstrom
O -8.431 -7.626 3.291
O -4.907 -3.650 2.072
O -12.933 -5.223 2.833
O -1.395 -2.213 -0.661
O -10.176 -5.359 2.601
O -12.931 -2.931 4.540
O -9.920 -2.847 4.067
O -4.821 -6.119 0.376
O -8.028 -6.268 0.910
O -9.507 -1.317 1.796
O -4.152 -2.077 -0.429
O -11.166 -5.249 5.056
O -6.681 -3.741 -0.225
O -4.408 -4.589 -1.895
O -9.421 -3.786 0.101
O -8.400 -5.213 4.933
O -5.929 -2.223 -2.761
O -2.882 0.329 -1.556
O -6.300 -1.168 1.262
O -3.162 -2.187 -2.883
O -1.397 -4.505 -2.368
O -5.897 0.190 -1.118
O -11.446 -7.765 3.729
O -7.648 -3.695 2.397
Nb -4.355 -0.687 -1.993
Nb -9.973 -6.749 4.165
Nb -6.420 -3.994 -2.031
Nb -7.909 -3.442 4.203
Nb -2.755 -3.556 -1.564
Nb -9.797 -5.498 0.666
Nb -4.531 -1.938 1.506
Nb -11.573 -3.880 3.736
Co -0.898 -0.230 -1.265
Co -2.800 -2.530 -4.956
Co -7.971 -2.405 0.795
Co -6.357 -5.030 1.378
! N(E_F) = 0.0 states/eV/cell

***

Most stable to least stable, the ends of the list are D and C.

***

A.
! NbCo3O (PBE with a Hubbard U, relaxed); values from VASP
&SYSTEM
  ibrav = 0, nat = 5, ntyp = 3
/
ATOMIC_SPECIES
Co 58.93 Co.upf
O 16.00 O.upf
Nb 92.91 Nb.upf
CELL_PARAMETERS angstrom
3.906 0.000 0.000
0.000 3.906 0.000
0.000 0.000 3.906
ATOMIC_POSITIONS angstrom
Co 0.000 0.000 1.953
Co 0.000 1.953 0.000
Co 1.953 0.000 0.000
O 0.000 0.000 0.000
Nb 1.953 1.953 1.953
! N(E_F) = 6.1 states/eV/cell

***

B.
! NbCo3O (PBE with a Hubbard U, relaxed); values from VASP
&SYSTEM
  ibrav = 0, nat = 5, ntyp = 3
/
ATOMIC_SPECIES
Co 58.93 Co.upf
O 16.00 O.upf
Nb 92.91 Nb.upf
CELL_PARAMETERS angstrom
-1.211 -2.545 -3.516
0.487 -3.706 2.516
-4.313 0.296 1.271
ATOMIC_POSITIONS angstrom
Co 0.243 -1.853 1.258
Co -0.605 -1.273 -1.758
Co -2.156 0.148 0.635
O -2.518 -2.978 0.136
Nb 0.000 0.000 0.000
! N(E_F) = 2.7 states/eV/cell

***

Most stable to least stable, the ends of the list are A and B.

***

A.
! NbCoP2O (PBE with a Hubbard U, relaxed); values from VASP
&SYSTEM
  ibrav = 0, nat = 5, ntyp = 4
/
ATOMIC_SPECIES
P 30.97 P.upf
Co 58.93 Co.upf
Nb 92.91 Nb.upf
O 16.00 O.upf
CELL_PARAMETERS angstrom
4.941 0.000 0.000
0.000 4.941 0.000
0.000 0.000 3.856
ATOMIC_POSITIONS angstrom
P 0.000 2.470 0.000
P 2.470 0.000 0.000
Co 2.470 2.470 1.928
Nb 0.000 0.000 0.000
O 0.000 0.000 1.928
! N(E_F) = 2.6 states/eV/cell

***

B.
! NbCoP2O (PBE with a Hubbard U, relaxed); values from VASP
&SYSTEM
  ibrav = 0, nat = 5, ntyp = 4
/
ATOMIC_SPECIES
Co 58.93 Co.upf
P 30.97 P.upf
O 16.00 O.upf
Nb 92.91 Nb.upf
CELL_PARAMETERS angstrom
-1.760 -3.847 -1.770
4.155 -1.939 0.081
-0.604 -1.162 3.127
ATOMIC_POSITIONS angstrom
Co 0.000 0.000 0.000
P 2.078 -0.969 0.041
P -0.880 -1.924 -0.885
O -0.302 -0.581 1.563
Nb 0.896 -3.474 0.719
! N(E_F) = 3.2 states/eV/cell

***

Most stable to least stable, the ends of the list are A and B.